# 1
# Cr2MoPt PBEsol optimized geometry
# Energy of formation = 0.100 eV/atom
# DOS(E_F) = 1.1044 states/eV per atom
# Spin magnetization = 0.0004 μB per atom
# Symmetry = Cm
data_Cr2MoPt
_chemical_formula_sum 'Cr2 Mo1 Pt1'
_symmetry_space_group_name_H-M 'P 1'
_symmetry_Int_Tables_number 1
_symmetry_space_group_name_Hall 'P 1'
_cell_length_a 2.613
_cell_length_b 4.636
_cell_length_c 4.627
_cell_angle_alpha 98.40
_cell_angle_beta 106.40
_cell_angle_gamma 90.00
loop_
_atom_site_label
_atom_site_type_symbol
_atom_site_fract_x
_atom_site_fract_y
_atom_site_fract_z
Cr1 Cr 0.255 0.760 0.510
Cr2 Cr 0.003 0.996 0.006
Pt1 Pt 0.745 0.239 0.491
Mo1 Mo 0.497 0.506 0.994

# 2
# Y2ZrRh PBEsol optimized geometry
# Energy of formation = -0.375 eV/atom
# DOS(E_F) = 0.8132 states/eV per atom
# Spin magnetization = 0.0000 μB per atom
# Symmetry = Imm2
data_Y2ZrRh
_chemical_formula_sum 'Y2 Zr1 Rh1'
_symmetry_space_group_name_H-M 'P 1'
_symmetry_Int_Tables_number 1
_symmetry_space_group_name_Hall 'P 1'
_cell_length_a 3.485
_cell_length_b 5.116
_cell_length_c 6.025
_cell_angle_alpha 115.13
_cell_angle_beta 106.81
_cell_angle_gamma 90.00
loop_
_atom_site_label
_atom_site_type_symbol
_atom_site_fract_x
_atom_site_fract_y
_atom_site_fract_z
Y1 Y 0.960 0.460 0.919
Y2 Y 0.752 0.752 0.504
Rh1 Rh 0.239 0.239 0.478
Zr1 Zr 0.549 0.049 0.098

# 3
# DyH3O3 PBEsol optimized geometry
# DOS(E_F) = 0.0000 states/eV per atom
# Spin magnetization = 0.0000 μB per atom
# VASP energy = -6.372 eV per atom
# Symmetry = P6_3/m
data_DyH3O3
_chemical_formula_sum 'Dy2 H6 O6'
_symmetry_space_group_name_H-M 'P 1'
_symmetry_Int_Tables_number 1
_symmetry_space_group_name_Hall 'P 1'
_cell_length_a 3.488
_cell_length_b 6.205
_cell_length_c 6.205
_cell_angle_alpha 120.00
_cell_angle_beta 90.00
_cell_angle_gamma 90.00
loop_
_atom_site_label
_atom_site_type_symbol
_atom_site_fract_x
_atom_site_fract_y
_atom_site_fract_z
H1 H 0.250 0.278 0.147
H2 H 0.250 0.853 0.131
H3 H 0.750 0.147 0.869
H4 H 0.750 0.722 0.853
H5 H 0.750 0.131 0.278
H6 H 0.250 0.869 0.722
O1 O 0.250 0.917 0.310
O2 O 0.750 0.607 0.917
O3 O 0.750 0.083 0.690
O4 O 0.250 0.690 0.607
O5 O 0.750 0.310 0.393
O6 O 0.250 0.393 0.083
Dy1 Dy 0.750 0.667 0.333
Dy2 Dy 0.250 0.333 0.667

# 4
# GeSbRh2C PBEsol optimized geometry
# DOS(E_F) = 0.5432 states/eV per atom
# Spin magnetization = 0.0000 μB per atom
# Symmetry = P4/mmm
# Energy relative to the elements, uncorrected = 481 kJ/mol of formula units
data_GeSbRh2C
_chemical_formula_sum 'Ge1 Sb1 Rh2 C1'
_symmetry_space_group_name_H-M 'P 1'
_symmetry_Int_Tables_number 1
_symmetry_space_group_name_Hall 'P 1'
_cell_length_a 3.673
_cell_length_b 4.699
_cell_length_c 4.699
_cell_angle_alpha 90.00
_cell_angle_beta 90.00
_cell_angle_gamma 90.00
loop_
_atom_site_label
_atom_site_type_symbol
_atom_site_fract_x
_atom_site_fract_y
_atom_site_fract_z
Ge1 Ge 0.000 0.000 0.000
C1 C 0.500 0.000 0.000
Sb1 Sb 0.500 0.500 0.500
Rh1 Rh 0.000 0.500 0.000
Rh2 Rh 0.000 0.000 0.500